w) {
  "formula": "PrTmHg6",
  "functional": "PBE",
  "state": "optimized geometry",
  "lattice_angstrom": [[4.565, 0.000, 0.000], [0.000, 4.565, 0.000], [0.000, 0.000, 9.684]],
  "species": ["Hg", "Hg", "Hg", "Pr", "Hg", "Hg", "Tm", "Hg"],
  "fractional_positions": [[0.500, 0.000, 0.742], [0.500, 0.500, 0.000], [0.500, 0.500, 0.500], [0.000, 0.000, 0.000], [0.000, 0.500, 0.742], [0.500, 0.000, 0.258], [0.000, 0.000, 0.500], [0.000, 0.500, 0.258]],
  "spacegroup": "P4/mmm (123)"
}

***

x) {
  "formula": "PrTmHg6",
  "functional": "PBE",
  "state": "optimized geometry",
  "lattice_angstrom": [[5.039, 0.000, 0.000], [0.000, 6.720, -0.200], [0.000, -3.154, 5.937]],
  "species": ["Pr", "Hg", "Hg", "Hg", "Hg", "Hg", "Tm", "Hg"],
  "fractional_positions": [[0.500, 0.413, 0.587], [0.500, 0.414, 0.085], [0.500, 0.922, 0.078], [0.000, 0.586, 0.414], [0.000, 0.070, 0.408], [0.000, 0.592, 0.930], [0.000, 0.087, 0.913], [0.500, 0.915, 0.586]],
  "spacegroup": "Amm2 (38)"
}

***

Most stable: x). Least stable: w).

***

w) {
  "formula": "PrTmHg4",
  "functional": "PBE",
  "state": "optimized geometry",
  "lattice_angstrom": [[-0.585, 3.037, 2.364], [0.529, -1.583, 5.369], [6.719, 4.538, -0.961]],
  "species": ["Hg", "Pr", "Hg", "Hg", "Hg", "Tm"],
  "fractional_positions": [[0.822, 0.510, 0.846], [0.500, 0.500, 0.500], [0.651, 0.015, 0.683], [0.178, 0.490, 0.154], [0.349, 0.985, 0.317], [0.000, 0.000, 0.000]],
  "spacegroup": "C2/m (12)"
}

***

x) {
  "formula": "PrTmHg4",
  "functional": "PBE",
  "state": "optimized geometry",
  "lattice_angstrom": [[-1.187, -2.721, 3.427], [4.386, -0.907, 0.800], [0.393, 6.712, 5.467]],
  "species": ["Hg", "Hg", "Hg", "Tm", "Pr", "Hg"],
  "fractional_positions": [[0.001, 0.497, 0.263], [0.501, 0.997, 0.734], [0.001, 0.497, 0.733], [0.001, 0.997, 0.498], [0.501, 0.497, 0.998], [0.501, 0.997, 0.262]],
  "spacegroup": "Pmmm (47)"
}

***

Most stable: w). Least stable: x).

***

w) {
  "formula": "PrTmHg2",
  "functional": "PBE",
  "state": "optimized geometry",
  "lattice_angstrom": [[-1.359, 3.044, -1.633], [-3.277, -1.691, -0.425], [-2.285, 2.690, 6.916]],
  "species": ["Pr", "Tm", "Hg", "Hg"],
  "fractional_positions": [[0.500, 0.500, 0.500], [0.500, 0.500, 0.000], [0.000, 0.000, 0.225], [0.000, 0.000, 0.775]],
  "spacegroup": "P4/mmm (123)"
}

***

x) {
  "formula": "PrTmHg2",
  "functional": "PBE",
  "state": "optimized geometry",
  "lattice_angstrom": [[5.344, 0.000, 0.000], [2.672, 4.628, 0.000], [2.672, 1.543, 4.363]],
  "species": ["Pr", "Hg", "Hg", "Tm"],
  "fractional_positions": [[0.500, 0.500, 0.500], [0.250, 0.250, 0.250], [0.750, 0.750, 0.750], [0.000, 0.000, 0.000]],
  "spacegroup": "Fm-3m (225)"
}

***

Most stable: w). Least stable: x).

***

w) {
  "formula": "PrTm2Hg6",
  "functional": "PBE",
  "state": "optimized geometry",
  "lattice_angstrom": [[-2.958, 0.439, -3.372], [3.027, -1.697, -2.876], [-4.482, -11.286, 5.473]],
  "species": ["Hg", "Hg", "Hg", "Tm", "Tm", "Hg", "Pr", "Hg", "Hg"],
  "fractional_positions": [[0.411, 0.911, 0.821], [0.589, 0.089, 0.179], [0.911, 0.411, 0.821], [0.670, 0.670, 0.339], [0.330, 0.330, 0.661], [0.089, 0.589, 0.179], [0.000, 0.000, 0.000], [0.250, 0.750, 0.500], [0.750, 0.250, 0.500]],
  "spacegroup": "I4/mmm (139)"
}

***

x) {
  "formula": "PrTm2Hg6",
  "functional": "PBE",
  "state": "optimized geometry",
  "lattice_angstrom": [[3.424, 0.085, -0.157], [-0.382, 7.505, -4.258], [0.401, -0.055, 8.628]],
  "species": ["Tm", "Hg", "Hg", "Hg", "Tm", "Pr", "Hg", "Hg", "Hg"],
  "fractional_positions": [[0.000, 0.333, 0.667], [0.500, 0.337, 0.000], [0.498, 0.337, 0.337], [0.500, 0.663, 0.000], [0.000, 0.667, 0.333], [0.000, 0.000, 0.000], [0.502, 0.000, 0.663], [0.502, 0.663, 0.663], [0.498, 0.000, 0.337]],
  "spacegroup": "C2/m (12)"
}

***

Most stable: x). Least stable: w).

***

w) {
  "formula": "PrTm2Hg",
  "functional": "PBE",
  "state": "optimized geometry",
  "lattice_angstrom": [[3.636, 0.000, 0.000], [1.818, 3.149, 0.000], [1.818, 1.050, 10.529]],
  "species": ["Hg", "Tm", "Pr", "Tm"],
  "fractional_positions": [[0.666, 0.666, 0.001], [0.074, 0.074, 0.779], [0.500, 0.500, 0.500], [0.260, 0.260, 0.220]],
  "spacegroup": "R3m (160)"
}

***

x) {
  "formula": "PrTm2Hg",
  "functional": "PBE",
  "state": "optimized geometry",
  "lattice_angstrom": [[-0.498, 1.410, 3.290], [0.526, -3.257, 1.475], [8.711, 1.679, 0.598]],
  "species": ["Hg", "Pr", "Tm", "Tm"],
  "fractional_positions": [[0.500, 0.500, 0.000], [0.500, 0.500, 0.500], [0.000, 0.000, 0.786], [0.000, 0.000, 0.214]],
  "spacegroup": "P4/mmm (123)"
}

***

y) {
  "formula": "PrTm2Hg",
  "functional": "PBE",
  "state": "optimized geometry",
  "lattice_angstrom": [[3.612, 0.000, 0.000], [1.806, 3.128, 0.000], [1.806, 1.043, 10.543]],
  "species": ["Hg", "Tm", "Tm", "Pr"],
  "fractional_positions": [[0.000, 0.000, 0.000], [0.741, 0.741, 0.777], [0.259, 0.259, 0.223], [0.500, 0.500, 0.500]],
  "spacegroup": "R-3m (166)"
}

***

Most stable: x). Least stable: w).

***

w) {
  "formula": "PrY2Hg",
  "functional": "PBE",
  "state": "optimized geometry",
  "lattice_angstrom": [[-3.348, 1.468, -0.554], [-3.022, -1.811, 1.124], [-1.545, 4.758, 9.595]],
  "species": ["Pr", "Hg", "Y", "Y"],
  "fractional_positions": [[0.500, 0.500, 0.499], [0.666, 0.666, 0.001], [0.260, 0.260, 0.220], [0.073, 0.073, 0.780]],
  "spacegroup": "R3m (160)"
}

***

x) {
  "formula": "PrY2Hg",
  "functional": "PBE",
  "state": "optimized geometry",
  "lattice_angstrom": [[3.669, 0.000, 0.000], [0.000, 3.669, 0.000], [0.000, 0.000, 8.950]],
  "species": ["Pr", "Y", "Hg", "Y"],
  "fractional_positions": [[0.500, 0.500, 0.500], [0.000, 0.000, 0.786], [0.500, 0.500, 0.000], [0.000, 0.000, 0.214]],
  "spacegroup": "P4/mmm (123)"
}

***

y) {
  "formula": "PrY2Hg",
  "functional": "PBE",
  "state": "optimized geometry",
  "lattice_angstrom": [[-1.719, 0.312, -3.225], [-3.664, 0.128, -0.121], [-1.450, 10.772, -0.272]],
  "species": ["Y", "Y", "Pr", "Hg"],
  "fractional_positions": [[0.259, 0.259, 0.222], [0.741, 0.741, 0.778], [0.500, 0.500, 0.500], [0.000, 0.000, 0.000]],
  "spacegroup": "R-3m (166)"
}

***

Most stable: x). Least stable: w).